{
  "formula": "SrTcSe2N",
  "functional": "PBE-GGA",
  "state": "relaxed",
  "lattice_angstrom": [[5.239, 0.000, 0.000], [0.000, 5.239, 0.000], [0.000, 0.000, 3.801]],
  "species": ["Sr", "Tc", "Se", "Se", "N"],
  "frac_coords": [[0.000, 0.000, 0.000], [0.500, 0.500, 0.500], [0.000, 0.500, 0.500], [0.500, 0.000, 0.500], [0.500, 0.500, 0.000]],
  "raw_formation_energy_ev_per_atom": -0.570,
  "de_polymorph_mev_per_atom": 0
}